(1)
Density functional theory data (GGA-PBEsol) for an optimized crystal structure of HfAgI3.

Unit cell a=5.555 b=5.555 c=5.555 alpha=90.00 beta=90.00 gamma=90.00
Fractional positions:
Hf1 0.000 0.000 0.000
Ag1 0.500 0.500 0.500
I1 0.000 0.000 0.500
I2 0.000 0.500 0.000
I3 0.500 0.000 0.000

* density: 6461 kg/m³
* formation energy (no corrections): 33 meV per atom
* D(E_F): 3.7 states/eV per cell
* magnetic moment: 0.00 μB/f.u.
* space-group type: Pm-3m, No. 221

---

(2)
Density functional theory data (GGA-PBEsol) for an optimized crystal structure of HfNiAgI2.

Unit cell a=5.057 b=5.057 c=4.801 alpha=90.00 beta=90.00 gamma=90.00
Fractional positions:
Hf1 0.000 0.000 0.000
Ni1 0.000 0.000 0.500
Ag1 0.500 0.500 0.000
I1 0.000 0.500 0.500
I2 0.500 0.000 0.500

* density: 8099 kg/m³
* formation energy (no corrections): 569 meV per atom
* D(E_F): 3.5 states/eV per cell
* magnetic moment: 0.00 μB/f.u.
* space-group type: P4/mmm, No. 123

---

(3)
Density functional theory data (GGA-PBEsol) for an optimized crystal structure of HfAgSb2I.

Unit cell a=5.477 b=5.477 c=5.508 alpha=90.00 beta=90.00 gamma=90.00
Fractional positions:
Hf1 0.000 0.000 0.000
Ag1 0.500 0.500 0.500
Sb1 0.000 0.500 0.000
Sb2 0.500 0.000 0.000
I1 0.000 0.000 0.500

* density: 6602 kg/m³
* formation energy (no corrections): 430 meV per atom
* D(E_F): 4.9 states/eV per cell
* magnetic moment: 0.00 μB/f.u.
* space-group type: P4/mmm, No. 123

---

(4)
Density functional theory data (GGA-PBEsol) for an optimized crystal structure of Hf2AgSnI.

Unit cell a=5.275 b=5.275 c=4.853 alpha=90.00 beta=90.00 gamma=90.00
Fractional positions:
Hf1 0.000 0.500 0.000
Hf2 0.500 0.000 0.000
Ag1 0.000 0.000 0.000
Sn1 0.000 0.000 0.500
I1 0.500 0.500 0.500

* density: 8737 kg/m³
* formation energy (no corrections): 901 meV per atom
* D(E_F): 6.2 states/eV per cell
* magnetic moment: 0.00 μB/f.u.
* space-group type: P4/mmm, No. 123

---

(5)
Density functional theory data (GGA-PBEsol) for an optimized crystal structure of SrHfIn2Ag.

Unit cell a=5.694 b=5.694 c=5.308 alpha=90.00 beta=90.00 gamma=90.00
Fractional positions:
Sr1 0.000 0.000 0.000
Hf1 0.000 0.000 0.500
In1 0.000 0.500 0.000
In2 0.500 0.000 0.000
Ag1 0.500 0.500 0.500

* density: 5824 kg/m³
* D(E_F): 6.5 states/eV per cell
* magnetic moment: 0.01 μB/f.u.
* calculated formation energy: 8.26 eV/f.u.
* space-group type: P4/mmm, No. 123

---

(6)
Density functional theory data (GGA-PBEsol) for an optimized crystal structure of LaHf2AgIr.

Unit cell a=4.927 b=4.927 c=5.184 alpha=90.00 beta=90.00 gamma=90.00
Fractional positions:
La1 0.000 0.000 0.000
Hf1 0.000 0.500 0.500
Hf2 0.500 0.000 0.500
Ag1 0.500 0.500 0.000
Ir1 0.500 0.500 0.500

* density: 10504 kg/m³
* D(E_F): 5.6 states/eV per cell
* magnetic moment: 0.00 μB/f.u.
* calculated formation energy: 0.76 eV/f.u.
* space-group type: P4/mmm, No. 123

---

(7)
Density functional theory data (GGA-PBEsol) for an optimized crystal structure of HfAgIr2O.

Unit cell a=4.939 b=4.939 c=3.864 alpha=90.00 beta=90.00 gamma=90.00
Fractional positions:
Hf1 0.000 0.000 0.000
Ag1 0.500 0.500 0.500
Ir1 0.000 0.500 0.000
Ir2 0.500 0.000 0.000
O1 0.000 0.000 0.500

* density: 12101 kg/m³
* formation energy (no corrections): 594 meV per atom
* D(E_F): 6.0 states/eV per cell
* magnetic moment: 1.67 μB/f.u.
* space-group type: P4/mmm, No. 123

---

(8)
Density functional theory data (GGA-PBEsol) for an optimized crystal structure of HfZr2AgIr.

Unit cell a=4.925 b=4.925 c=4.887 alpha=90.00 beta=90.00 gamma=90.00
Fractional positions:
Hf1 0.000 0.000 0.000
Zr1 0.000 0.500 0.500
Zr2 0.500 0.000 0.500
Ag1 0.000 0.000 0.500
Ir1 0.500 0.500 0.000

* density: 9261 kg/m³
* D(E_F): 7.3 states/eV per cell
* magnetic moment: 0.00 μB/f.u.
* calculated formation energy: 6.40 eV/f.u.
* space-group type: P4/mmm, No. 123

---

(9)
Density functional theory data (GGA-PBEsol) for an optimized crystal structure of LiHfAgRh2.

Unit cell a=4.150 b=4.150 c=4.303 alpha=90.00 beta=90.00 gamma=90.00
Fractional positions:
Li1 0.000 0.000 0.000
Hf1 0.000 0.000 0.500
Ag1 0.500 0.500 0.500
Rh1 0.000 0.500 0.000
Rh2 0.500 0.000 0.000

* density: 11186 kg/m³
* D(E_F): 0.8 states/eV per cell
* magnetic moment: 0.00 μB/f.u.
* calculated formation energy: 2.07 eV/f.u.
* space-group type: P4/mmm, No. 123

---

(10)
Density functional theory data (GGA-PBEsol) for an optimized crystal structure of LiHfAg2Sb.

Unit cell a=5.064 b=5.064 c=4.560 alpha=90.00 beta=90.00 gamma=90.00
Fractional positions:
Li1 0.000 0.000 0.000
Hf1 0.500 0.500 0.000
Ag1 0.000 0.500 0.500
Ag2 0.500 0.000 0.500
Sb1 0.000 0.000 0.500

* density: 7427 kg/m³
* formation energy (no corrections): 843 meV per atom
* D(E_F): 4.8 states/eV per cell
* magnetic moment: 0.01 μB/f.u.
* space-group type: P4/mmm, No. 123

---

(11)
Density functional theory data (GGA-PBEsol) for an optimized crystal structure of HfMgAgSb2.

Unit cell a=5.213 b=5.213 c=4.630 alpha=90.00 beta=90.00 gamma=90.00
Fractional positions:
Hf1 0.000 0.000 0.000
Mg1 0.500 0.500 0.500
Ag1 0.500 0.500 0.000
Sb1 0.000 0.500 0.500
Sb2 0.500 0.000 0.500

* density: 7314 kg/m³
* formation energy (no corrections): 761 meV per atom
* D(E_F): 3.5 states/eV per cell
* magnetic moment: 0.00 μB/f.u.
* space-group type: P4/mmm, No. 123

---

(12)
Density functional theory data (GGA-PBEsol) for an optimized crystal structure of HfMn2Ag.

Unit cell a=6.205 b=6.205 c=6.205 alpha=90.00 beta=90.00 gamma=90.00
Fractional positions:
Hf1 0.000 0.000 0.000
Hf2 0.000 0.500 0.500
Hf3 0.500 0.000 0.500
Hf4 0.500 0.500 0.000
Mn1 0.250 0.250 0.250
Mn2 0.250 0.250 0.750
Mn3 0.250 0.750 0.250
Mn4 0.250 0.750 0.750
Mn5 0.750 0.250 0.250
Mn6 0.750 0.250 0.750
Mn7 0.750 0.750 0.250
Mn8 0.750 0.750 0.750
Ag1 0.000 0.000 0.500
Ag2 0.000 0.500 0.000
Ag3 0.500 0.000 0.000
Ag4 0.500 0.500 0.500

* density: 11017 kg/m³
* D(E_F): 10.2 states/eV per cell
* magnetic moment: 4.69 μB/f.u.
* calculated formation energy: 1.10 eV/f.u.
* space-group type: Fm-3m, No. 225

---

(13)
Density functional theory data (GGA-PBEsol) for an optimized crystal structure of HfSc2MnAg.

Unit cell a=5.020 b=5.020 c=5.075 alpha=90.00 beta=90.00 gamma=90.00
Fractional positions:
Hf1 0.000 0.000 0.000
Sc1 0.000 0.500 0.500
Sc2 0.500 0.000 0.500
Mn1 0.500 0.500 0.000
Ag1 0.000 0.000 0.500

* density: 5598 kg/m³
* D(E_F): 9.9 states/eV per cell
* magnetic moment: 3.31 μB/f.u.
* calculated formation energy: 4.91 eV/f.u.
* space-group type: P4/mmm, No. 123

---

(14)
Density functional theory data (GGA-PBEsol) for an optimized crystal structure of Hf2MnTcAg.

Unit cell a=4.766 b=4.766 c=5.070 alpha=90.00 beta=90.00 gamma=90.00
Fractional positions:
Hf1 0.000 0.500 0.000
Hf2 0.500 0.000 0.000
Mn1 0.000 0.000 0.500
Tc1 0.500 0.500 0.000
Ag1 0.500 0.500 0.500

* density: 8908 kg/m³
* D(E_F): 4.3 states/eV per cell
* magnetic moment: 4.34 μB/f.u.
* calculated formation energy: 5.23 eV/f.u.
* space-group type: P4/mmm, No. 123

---

(15)
Density functional theory data (GGA-PBEsol) for an optimized crystal structure of HfAg3Mo.

Unit cell a=4.994 b=4.994 c=4.994 alpha=90.00 beta=90.00 gamma=90.00
Fractional positions:
Hf1 0.000 0.000 0.000
Ag1 0.000 0.000 0.500
Ag2 0.000 0.500 0.000
Ag3 0.500 0.000 0.000
Mo1 0.500 0.500 0.500

* density: 7973 kg/m³
* D(E_F): 4.9 states/eV per cell
* magnetic moment: 3.63 μB/f.u.
* calculated formation energy: 9.76 eV/f.u.
* space-group type: Pm-3m, No. 221

---

(16)
Density functional theory data (GGA-PBEsol) for an optimized crystal structure of Hf2AgMo.

Unit cell a=6.611 b=6.611 c=6.611 alpha=90.00 beta=90.00 gamma=90.00
Fractional positions:
Hf1 0.250 0.250 0.250
Hf2 0.250 0.250 0.750
Hf3 0.250 0.750 0.250
Hf4 0.250 0.750 0.750
Hf5 0.750 0.250 0.250
Hf6 0.750 0.250 0.750
Hf7 0.750 0.750 0.250
Hf8 0.750 0.750 0.750
Ag1 0.000 0.000 0.000
Ag2 0.000 0.500 0.500
Ag3 0.500 0.000 0.500
Ag4 0.500 0.500 0.000
Mo1 0.000 0.000 0.500
Mo2 0.000 0.500 0.000
Mo3 0.500 0.000 0.000
Mo4 0.500 0.500 0.500

* density: 12893 kg/m³
* D(E_F): 10.2 states/eV per cell
* magnetic moment: 0.00 μB/f.u.
* calculated formation energy: -0.23 eV/f.u.
* space-group type: Fm-3m, No. 225

---

(17)
Density functional theory data (GGA-PBEsol) for an optimized crystal structure of Hf2AgMoPb.

Unit cell a=5.221 b=5.221 c=4.953 alpha=90.00 beta=90.00 gamma=90.00
Fractional positions:
Hf1 0.000 0.500 0.000
Hf2 0.500 0.000 0.000
Ag1 0.000 0.000 0.500
Mo1 0.500 0.500 0.500
Pb1 0.500 0.500 0.000

* density: 9446 kg/m³
* D(E_F): 5.3 states/eV per cell
* magnetic moment: 0.00 μB/f.u.
* calculated formation energy: 9.47 eV/f.u.
* space-group type: P4/mmm, No. 123

---

(18)
Density functional theory data (GGA-PBEsol) for an optimized crystal structure of HfZr2AgMo.

Unit cell a=4.906 b=4.906 c=4.996 alpha=90.00 beta=90.00 gamma=90.00
Fractional positions:
Hf1 0.000 0.000 0.000
Zr1 0.000 0.500 0.500
Zr2 0.500 0.000 0.500
Ag1 0.500 0.500 0.000
Mo1 0.000 0.000 0.500

* density: 7798 kg/m³
* D(E_F): 7.0 states/eV per cell
* magnetic moment: 0.00 μB/f.u.
* calculated formation energy: 4.20 eV/f.u.
* space-group type: P4/mmm, No. 123

---

(19)
Density functional theory data (GGA-PBEsol) for an optimized crystal structure of HfAgN2O.

Unit cell a=3.905 b=3.905 c=3.800 alpha=90.00 beta=90.00 gamma=90.00
Fractional positions:
Hf1 0.000 0.000 0.000
Ag1 0.500 0.500 0.500
N1 0.000 0.500 0.500
N2 0.500 0.000 0.500
O1 0.500 0.500 0.000

* density: 9466 kg/m³
* formation energy (no corrections): 576 meV per atom
* D(E_F): 1.6 states/eV per cell
* magnetic moment: 0.00 μB/f.u.
* space-group type: P4/mmm, No. 123

---

(20)
Density functional theory data (GGA-PBEsol) for an optimized crystal structure of HfAgS2N.

Unit cell a=4.636 b=4.636 c=3.895 alpha=90.00 beta=90.00 gamma=90.00
Fractional positions:
Hf1 0.000 0.000 0.000
Ag1 0.500 0.500 0.500
S1 0.000 0.500 0.500
S2 0.500 0.000 0.500
N1 0.500 0.500 0.000

* density: 7229 kg/m³
* formation energy (no corrections): 743 meV per atom
* D(E_F): 3.1 states/eV per cell
* magnetic moment: 0.00 μB/f.u.
* excess energy over the best structure of this formula in the dataset: 4.05 eV per formula unit
* space-group type: P4/mmm, No. 123

---

(21)
Density functional theory data (GGA-PBEsol) for an optimized crystal structure of HfAgS2N.

Unit cell a=4.935 b=4.935 c=4.098 alpha=90.00 beta=90.00 gamma=90.00
Fractional positions:
Hf1 0.000 0.000 0.000
Ag1 0.500 0.500 0.500
S1 0.000 0.500 0.000
S2 0.500 0.000 0.000
N1 0.000 0.000 0.500

* density: 6065 kg/m³
* formation energy (no corrections): -67 meV per atom
* D(E_F): 1.9 states/eV per cell
* magnetic moment: 1.82 μB/f.u.
* excess energy over the best structure of this formula in the dataset: 0.00 eV per formula unit
* space-group type: P4/mmm, No. 123

---

(22)
Density functional theory data (GGA-PBEsol) for an optimized crystal structure of HfAgTe2N.

Unit cell a=5.659 b=5.659 c=3.897 alpha=90.00 beta=90.00 gamma=90.00
Fractional positions:
Hf1 0.000 0.000 0.000
Ag1 0.500 0.500 0.500
Te1 0.000 0.500 0.000
Te2 0.500 0.000 0.000
N1 0.000 0.000 0.500

* density: 7391 kg/m³
* formation energy (no corrections): 139 meV per atom
* D(E_F): 4.1 states/eV per cell
* magnetic moment: 0.00 μB/f.u.
* space-group type: P4/mmm, No. 123

---

(23)
Density functional theory data (GGA-PBEsol) for an optimized crystal structure of Na2HfAg.

Unit cell a=7.002 b=7.002 c=7.002 alpha=90.00 beta=90.00 gamma=90.00
Fractional positions:
Na1 0.250 0.250 0.250
Na2 0.250 0.250 0.750
Na3 0.250 0.750 0.250
Na4 0.250 0.750 0.750
Na5 0.750 0.250 0.250
Na6 0.750 0.250 0.750
Na7 0.750 0.750 0.250
Na8 0.750 0.750 0.750
Hf1 0.000 0.000 0.000
Hf2 0.000 0.500 0.500
Hf3 0.500 0.000 0.500
Hf4 0.500 0.500 0.000
Ag1 0.000 0.000 0.500
Ag2 0.000 0.500 0.000
Ag3 0.500 0.000 0.000
Ag4 0.500 0.500 0.500

* density: 6429 kg/m³
* D(E_F): 17.4 states/eV per cell
* magnetic moment: 0.00 μB/f.u.
* calculated formation energy: 3.67 eV/f.u.
* space-group type: Fm-3m, No. 225

---

(24)
Density functional theory data (GGA-PBEsol) for an optimized crystal structure of Na2HfNiAg.

Unit cell a=5.922 b=5.922 c=4.358 alpha=90.00 beta=90.00 gamma=90.00
Fractional positions:
Na1 0.000 0.500 0.000
Na2 0.500 0.000 0.000
Hf1 0.000 0.000 0.000
Ni1 0.000 0.000 0.500
Ag1 0.500 0.500 0.500

* density: 4248 kg/m³
* D(E_F): 3.6 states/eV per cell
* magnetic moment: 0.00 μB/f.u.
* calculated formation energy: 6.69 eV/f.u.
* space-group type: P4/mmm, No. 123

---

(25)
Density functional theory data (GGA-PBEsol) for an optimized crystal structure of Hf2Ni2Ag.

Unit cell a=6.985 b=6.985 c=3.204 alpha=90.00 beta=90.00 gamma=90.00
Fractional positions:
Hf1 0.170 0.330 0.000
Hf2 0.330 0.830 0.000
Hf3 0.670 0.170 0.000
Hf4 0.830 0.670 0.000
Ni1 0.126 0.626 0.500
Ni2 0.374 0.126 0.500
Ni3 0.626 0.874 0.500
Ni4 0.874 0.374 0.500
Ag1 0.000 0.000 0.500
Ag2 0.500 0.500 0.500

* density: 12369 kg/m³
* D(E_F): 6.7 states/eV per cell
* magnetic moment: 0.00 μB/f.u.
* calculated formation energy: -2.11 eV/f.u.
* space-group type: P4/mbm, No. 127

---

(26)
Density functional theory data (GGA-PBEsol) for an optimized crystal structure of HfNiAg2Sn.

Unit cell a=4.642 b=4.642 c=4.602 alpha=90.00 beta=90.00 gamma=90.00
Fractional positions:
Hf1 0.000 0.000 0.000
Ni1 0.500 0.500 0.500
Ag1 0.000 0.500 0.500
Ag2 0.500 0.000 0.500
Sn1 0.500 0.500 0.000

* density: 9575 kg/m³
* D(E_F): 3.0 states/eV per cell
* magnetic moment: 0.00 μB/f.u.
* calculated formation energy: 2.47 eV/f.u.
* space-group type: P4/mmm, No. 123

---

(27)
Density functional theory data (GGA-PBEsol) for an optimized crystal structure of Hf2TaNiAg.

Unit cell a=4.621 b=4.621 c=4.582 alpha=90.00 beta=90.00 gamma=90.00
Fractional positions:
Hf1 0.000 0.500 0.000
Hf2 0.500 0.000 0.000
Ta1 0.000 0.000 0.500
Ni1 0.500 0.500 0.000
Ag1 0.500 0.500 0.500

* density: 11958 kg/m³
* D(E_F): 7.6 states/eV per cell
* magnetic moment: 0.00 μB/f.u.
* calculated formation energy: 3.56 eV/f.u.
* space-group type: P4/mmm, No. 123

---

(28)
Density functional theory data (GGA-PBEsol) for an optimized crystal structure of HfAgP2.

Unit cell a=6.839 b=6.839 c=5.948 alpha=90.00 beta=90.00 gamma=90.00
Fractional positions:
Hf1 0.000 0.000 0.000
Hf2 0.000 0.500 0.250
Hf3 0.500 0.000 0.750
Hf4 0.500 0.500 0.500
Ag1 0.000 0.000 0.500
Ag2 0.000 0.500 0.750
Ag3 0.500 0.000 0.250
Ag4 0.500 0.500 0.000
P1 0.238 0.250 0.625
P2 0.250 0.738 0.875
P3 0.250 0.762 0.375
P4 0.262 0.250 0.125
P5 0.738 0.750 0.125
P6 0.750 0.238 0.375
P7 0.750 0.262 0.875
P8 0.762 0.750 0.625

* density: 8317 kg/m³
* D(E_F): 4.7 states/eV per cell
* magnetic moment: 0.00 μB/f.u.
* calculated formation energy: -0.67 eV/f.u.
* space-group type: I-42d, No. 122

---

(29)
Density functional theory data (GGA-PBEsol) for an optimized crystal structure of Hf3AgP.

Unit cell a=4.738 b=4.738 c=4.738 alpha=90.00 beta=90.00 gamma=90.00
Fractional positions:
Hf1 0.000 0.000 0.500
Hf2 0.000 0.500 0.000
Hf3 0.500 0.000 0.000
Ag1 0.500 0.500 0.500
P1 0.000 0.000 0.000

* density: 10526 kg/m³
* D(E_F): 1.9 states/eV per cell
* magnetic moment: 0.00 μB/f.u.
* calculated formation energy: -0.61 eV/f.u.
* space-group type: Pm-3m, No. 221